(1)
NaSn12Pt4 | GGA-PBE | relaxed

Calculated values
space group = Im-3
formation energy = -0.329 eV per atom
density of states at the Fermi level = 8.68 states/eV per cell
size of the total moment = 0.000 μB per formula unit

abc: 8.2702 8.2702 8.2702
angles: 109.47 109.47 109.47
Closest atoms and distances in Å follow each position.
Sites, in units of the cell vectors:
Na 0.0000 0.0000 0.0000  12 Sn 3.60
Sn 0.1570 0.4992 0.3422  2 Pt 2.70, 2 Sn 3.00-3.01
Sn 0.1570 0.8147 0.6578  2 Pt 2.70, 2 Sn 3.00-3.01
Sn 0.1853 0.3422 0.8430  2 Pt 2.70, 2 Sn 3.00-3.01
Sn 0.3422 0.1570 0.4992  2 Pt 2.70, 2 Sn 3.00-3.01
Sn 0.3422 0.8430 0.1853  2 Pt 2.70, 2 Sn 3.00-3.01
Sn 0.4992 0.3422 0.1570  2 Pt 2.70, 2 Sn 3.00-3.01
Sn 0.5008 0.6578 0.8430  2 Pt 2.70, 2 Sn 3.00-3.01
Sn 0.6578 0.1570 0.8147  2 Pt 2.70, 2 Sn 3.00-3.01
Sn 0.6578 0.8430 0.5008  2 Pt 2.70, 2 Sn 3.00-3.01
Sn 0.8147 0.6578 0.1570  2 Pt 2.70, 2 Sn 3.00-3.01
Sn 0.8430 0.1853 0.3422  2 Pt 2.70, 2 Sn 3.00-3.01
Sn 0.8430 0.5008 0.6578  2 Pt 2.70, 2 Sn 3.00-3.01
Pt 0.0000 0.0000 0.5000  6 Sn 2.70
Pt 0.0000 0.5000 0.0000  6 Sn 2.70
Pt 0.5000 0.0000 0.0000  6 Sn 2.70
Pt 0.5000 0.5000 0.5000  6 Sn 2.70


(2)
Na2Sn2Pt3 | GGA-PBE | relaxed

Calculated values
space group = C2/m
formation energy = -0.428 eV per atom
density of states at the Fermi level = 3.17 states/eV per cell
size of the total moment = 0.000 μB per formula unit

abc: 6.2783 6.2783 7.3573
angles: 119.52 119.52 37.35
Closest atoms and distances in Å follow each position.
Sites, in units of the cell vectors:
Na 0.1363 0.1363 0.2892  4 Pt 3.02-3.10, 3 Sn 3.31-3.35
Na 0.8637 0.8637 0.7108  4 Pt 3.02-3.10, 3 Sn 3.31-3.35
Sn 0.1593 0.1593 0.7695  5 Pt 2.67-2.77
Sn 0.8407 0.8407 0.2305  5 Pt 2.67-2.77
Pt 0.4158 0.4158 0.0663  2 Pt 2.64-2.80, 3 Sn 2.67-2.72
Pt 0.5000 0.5000 0.5000  4 Sn 2.77, 2 Pt 2.80
Pt 0.5842 0.5842 0.9337  2 Pt 2.64-2.80, 3 Sn 2.67-2.72


(3)
Na2SnPt3 | GGA-PBE | relaxed

Calculated values
space group = R-3m
formation energy = -0.456 eV per atom
density of states at the Fermi level = 2.03 states/eV per cell
size of the total moment = 0.000 μB per formula unit

abc: 5.3996 5.3996 5.3996
angles: 62.16 62.16 62.16
Closest atoms and distances in Å follow each position.
Sites, in units of the cell vectors:
Na 0.1191 0.1191 0.1191  4 Na 3.10-3.45, 9 Pt 3.19-3.22, 3 Sn 3.28
Na 0.8809 0.8809 0.8809  4 Na 3.10-3.45, 9 Pt 3.19-3.22, 3 Sn 3.28
Sn 0.5000 0.5000 0.5000  6 Pt 2.70
Pt 0.0000 0.5000 0.5000  2 Sn 2.70, 4 Pt 2.79
Pt 0.5000 0.0000 0.5000  2 Sn 2.70, 4 Pt 2.79
Pt 0.5000 0.5000 0.0000  2 Sn 2.70, 4 Pt 2.79


(4)
NaSn8Pt2 | GGA-PBE | relaxed

Calculated values
energy above the most stable polymorph in this dataset = 48 meV per atom
space group = P4/mmm
formation energy = -0.148 eV per atom
density of states at the Fermi level = 5.07 states/eV per cell
size of the total moment = 0.000 μB per formula unit

abc: 6.5209 6.5209 7.3022
angles: 90.00 90.00 90.00
Closest atoms and distances in Å follow each position.
Sites, in units of the cell vectors:
Na 0.0000 0.0000 0.0000  8 Sn 3.13
Sn 0.2593 0.2593 0.2770  2 Pt 2.82, 1 Na 3.13, 2 Sn 3.14
Sn 0.2593 0.2593 0.7230  2 Pt 2.82, 1 Na 3.13, 2 Sn 3.14
Sn 0.2593 0.7407 0.2770  2 Pt 2.82, 1 Na 3.13, 2 Sn 3.14
Sn 0.2593 0.7407 0.7230  2 Pt 2.82, 1 Na 3.13, 2 Sn 3.14
Sn 0.7407 0.2593 0.2770  2 Pt 2.82, 1 Na 3.13, 2 Sn 3.14
Sn 0.7407 0.2593 0.7230  2 Pt 2.82, 1 Na 3.13, 2 Sn 3.14
Sn 0.7407 0.7407 0.2770  2 Pt 2.82, 1 Na 3.13, 2 Sn 3.14
Sn 0.7407 0.7407 0.7230  2 Pt 2.82, 1 Na 3.13, 2 Sn 3.14
Pt 0.0000 0.5000 0.5000  8 Sn 2.82
Pt 0.5000 0.0000 0.5000  8 Sn 2.82


> Which formula does entry 4 have?

NaSn8Pt2


> What is the formula in the first record?

NaSn12Pt4